A plane-wave DFT calculation with PBE was carried out for a relaxed NaTi3Se crystal.

Unit cell a=4.7943 b=4.7943 c=4.7943 alpha=90.00 beta=90.00 gamma=90.00
Sites, in units of the cell vectors:
Na 0.0000 0.0000 0.0000
Ti 0.0000 0.5000 0.5000
Ti 0.5000 0.0000 0.5000
Ti 0.5000 0.5000 0.0000
Se 0.5000 0.5000 0.5000

Computed properties:
* formation energy without anion corrections: 125 kJ/mol of formula units
* density of states at the Fermi level: 5.558 states/eV per cell
* volume: 22.04 Å³/atom

=====

A plane-wave DFT calculation with PBE was carried out for a relaxed YMoW2Cl crystal.

Unit cell a=4.6591 b=4.6591 c=6.0073 alpha=90.00 beta=90.00 gamma=90.00
Sites, in units of the cell vectors:
Y 0.0000 0.0000 0.0000
Mo 0.0000 0.0000 0.5000
W 0.0000 0.5000 0.5000
W 0.5000 0.0000 0.5000
Cl 0.5000 0.5000 0.0000

Computed properties:
* formation energy without anion corrections: 672 kJ/mol of formula units
* density of states at the Fermi level: 4.732 states/eV per cell
* volume: 26.08 Å³/atom

=====

A plane-wave DFT calculation with PBE was carried out for a relaxed MnSiS3 crystal.

Unit cell a=4.4328 b=4.4328 c=4.4328 alpha=90.00 beta=90.00 gamma=90.00
Sites, in units of the cell vectors:
Mn 0.0000 0.0000 0.0000
Si 0.5000 0.5000 0.5000
S 0.0000 0.0000 0.5000
S 0.0000 0.5000 0.0000
S 0.5000 0.0000 0.0000

Computed properties:
* formation energy without anion corrections: 237 kJ/mol of formula units
* density of states at the Fermi level: 7.892 states/eV per cell
* volume: 17.42 Å³/atom

=====

A plane-wave DFT calculation with PBE was carried out for a relaxed Ba2ZrMo crystal.

Unit cell a=3.5148 b=3.5148 c=34.2297 alpha=90.00 beta=90.00 gamma=120.00
Sites, in units of the cell vectors:
Ba 0.0000 0.0000 0.2422
Ba 0.0000 0.0000 0.7578
Ba 0.3333 0.6667 0.4244
Ba 0.3333 0.6667 0.9089
Ba 0.6667 0.3333 0.0911
Ba 0.6667 0.3333 0.5756
Zr 0.0000 0.0000 0.0000
Zr 0.3333 0.6667 0.6667
Zr 0.6667 0.3333 0.3333
Mo 0.0000 0.0000 0.5000
Mo 0.3333 0.6667 0.1667
Mo 0.6667 0.3333 0.8333

Computed properties:
* density of states at the Fermi level: 18.134 states/eV per cell
* formation energy from the elements: 1.225 eV/atom
* volume: 30.52 Å³/atom

=====

A plane-wave DFT calculation with PBE was carried out for a relaxed SrCo3Mo crystal.

Unit cell a=4.5384 b=4.5384 c=4.5384 alpha=90.00 beta=90.00 gamma=90.00
Sites, in units of the cell vectors:
Sr 0.0000 0.0000 0.0000
Co 0.0000 0.0000 0.5000
Co 0.0000 0.5000 0.0000
Co 0.5000 0.0000 0.0000
Mo 0.5000 0.5000 0.5000

Computed properties:
* density of states at the Fermi level: 5.865 states/eV per cell
* formation energy from the elements: 2.434 eV/atom
* volume: 18.70 Å³/atom

=====

A plane-wave DFT calculation with PBE was carried out for a relaxed K3SnPd crystal.

Unit cell a=6.1470 b=6.1470 c=6.1470 alpha=90.00 beta=90.00 gamma=90.00
Sites, in units of the cell vectors:
K 0.0000 0.0000 0.5000
K 0.0000 0.5000 0.0000
K 0.5000 0.0000 0.0000
Sn 0.5000 0.5000 0.5000
Pd 0.0000 0.0000 0.0000

Computed properties:
* density of states at the Fermi level: 0.810 states/eV per cell
* formation energy from the elements: 0.267 eV/atom
* volume: 46.45 Å³/atom